1.
Here is a relaxed structure of Er7TlGa5 from Alexandria. Energies are from PBE.

total moment = 0.00 μB/f.u.
calculated formation energy = -4.7 eV/f.u.

Unit cell a=6.1910 b=10.0295 c=10.2464 alpha=90.00 beta=90.00 gamma=90.00
Space group Imm2 (No. 44)
One atom of each set of equivalent atoms:
Er1 0.0000 0.0000 0.0000
Er2 0.0000 0.0000 0.3572
Er3 0.0000 0.3203 0.1269
Er4 0.0000 0.3230 0.6539
Er5 0.0000 0.5000 0.3760
Tl1 0.0000 0.0000 0.6737
Ga1 0.0000 0.5000 0.8878
Ga2 0.2458 0.2457 0.8945


2.
Here is a relaxed structure of TlGeAu5 from Alexandria. Energies are from PBE.

total moment = 0.00 μB/f.u.
calculated formation energy = 0.3 eV/f.u.

Unit cell a=9.1379 b=6.5263 c=10.0961 alpha=90.00 beta=103.51 gamma=90.00
Space group C2/c (No. 15)
One atom of each set of equivalent atoms:
Tl1 0.2500 0.2500 0.0000
Ge1 0.0000 0.1805 0.2500
Au1 0.0000 0.3878 0.7500
Au2 0.1009 0.3301 0.4950
Au3 0.2081 0.0669 0.7176


Q: Which formula does entry 2 have?
A: TlGeAu5